## NiGeN2O (PBE+U)

Data for NiGeN2O after structural relaxation.

Unit cell a=3.7456 b=3.7456 c=3.6442 alpha=90.00 beta=90.00 gamma=90.00
Fractional positions:
Ni 0.0000 0.0000 0.0000
Ge 0.5000 0.5000 0.5000
N 0.5000 0.0000 0.0000
N 0.0000 0.5000 0.0000
O 0.0000 0.0000 0.5000

E (eV per atom): -4.538
Space group: P4/mmm (123)